No. 1
Material: V3Pd2Pt2
Method: DFT, GGA-PBE
State: relaxed

The space group is C2/m (No. 12) and the conventional cell measures 11.962, 2.768 and 6.590 Å, with angles of 90.00, 109.24 and 90.00 degrees. The distinct sites, in fractional coordinates, are V at (0.000, 0.000, 0.000), V at (0.230, 0.500, 0.144), Pd at (0.072, 0.500, 0.724) and Pt at (0.145, 0.000, 0.400).

The calculation puts the energy above the most stable polymorph in this dataset at 0.082 eV per atom. As for the formation energy: -0.256 eV/atom. For the total energy, the calculation gives -7.373 eV/atom. The size of the total moment comes out at 0.00 μB/atom.



No. 2
Material: NaSmPb2Cl8
Method: DFT, GGA-PBE
State: relaxed

The space group is P2/m (No. 10) and the conventional cell measures 6.533, 8.661 and 6.776 Å, with angles of 90.00, 90.39 and 90.00 degrees. The distinct sites, in fractional coordinates, are Na at (0.000, 0.000, 0.000), Sm at (0.000, 0.500, 0.000), Pb at (0.500, 0.242, 0.500), Cl at (0.221, 0.264, 0.159), Cl at (0.250, 0.500, 0.679) and Cl at (0.273, 0.000, 0.669).

The value obtained for the uncorrected formation energy is -1.63 eV per atom. For the total energy, the calculation gives -3.984 eV/atom. The size of the total moment comes out at 0.00 μB/atom.